(1)
Below is a geometry-optimized Li2MnOs structure, with properties calculated at the PBE level.

a b c (Å): 9.323 2.572 4.600
angles (deg): 90.00 97.16 90.00
Fractional coordinates of all 8 atoms:
Li: 0.248 0.000 0.237
Li: 0.252 0.500 0.763
Li: 0.748 0.500 0.237
Li: 0.752 0.000 0.763
Mn: 0.000 0.000 0.500
Mn: 0.500 0.500 0.500
Os: 0.000 0.500 0.000
Os: 0.500 0.000 0.000

## Properties
Density of states at the Fermi level ... 4.292 states/eV/cell
Space-group type ... C2/m (12)
Calculated formation energy ... 0.1824 eV/atom

(2)
Below is a geometry-optimized Li2MnOs structure, with properties calculated at the PBE level.

a b c (Å): 2.668 4.367 4.636
angles (deg): 90.00 90.00 90.00
Fractional coordinates of all 4 atoms:
Li: 0.000 0.000 0.000
Li: 0.500 0.500 0.000
Mn: 0.000 0.500 0.500
Os: 0.500 0.000 0.500

## Properties
Density of states at the Fermi level ... 2.768 states/eV/cell
Space-group type ... Pmmm (47)
Calculated formation energy ... 0.2104 eV/atom

(3)
Below is a geometry-optimized Li2MnOs structure, with properties calculated at the PBE level.

a b c (Å): 4.461 4.461 2.626
angles (deg): 90.00 90.00 90.00
Fractional coordinates of all 4 atoms:
Li: 0.000 0.500 0.000
Li: 0.500 0.000 0.000
Mn: 0.000 0.000 0.500
Os: 0.500 0.500 0.500

## Properties
Density of states at the Fermi level ... 3.025 states/eV/cell
Space-group type ... P4/mmm (123)
Calculated formation energy ... 0.5445 eV/atom

(4)
Below is a geometry-optimized Li2MnOs structure, with properties calculated at the PBE level.

a b c (Å): 6.767 6.767 4.826
angles (deg): 90.00 90.00 90.00
Fractional coordinates of all 16 atoms:
Li: 0.246 0.750 0.125
Li: 0.250 0.246 0.875
Li: 0.250 0.254 0.375
Li: 0.254 0.750 0.625
Li: 0.746 0.250 0.625
Li: 0.750 0.746 0.375
Li: 0.750 0.754 0.875
Li: 0.754 0.250 0.125
Mn: 0.000 0.000 0.000
Mn: 0.000 0.500 0.250
Mn: 0.500 0.000 0.750
Mn: 0.500 0.500 0.500
Os: 0.000 0.000 0.500
Os: 0.000 0.500 0.750
Os: 0.500 0.000 0.250
Os: 0.500 0.500 0.000

## Properties
Density of states at the Fermi level ... 11.119 states/eV/cell
Space-group type ... I-42d (122)
Calculated formation energy ... 0.7514 eV/atom

(5)
Below is a geometry-optimized LiMnOs2 structure, with properties calculated at the PBE level.

a b c (Å): 5.238 7.874 2.574
angles (deg): 90.00 90.00 90.00
Fractional coordinates of all 8 atoms:
Li: 0.000 0.000 0.000
Li: 0.500 0.500 0.000
Mn: 0.000 0.500 0.000
Mn: 0.500 0.000 0.000
Os: 0.250 0.250 0.500
Os: 0.250 0.750 0.500
Os: 0.750 0.250 0.500
Os: 0.750 0.750 0.500

## Properties
Density of states at the Fermi level ... 7.691 states/eV/cell
Space-group type ... Cmmm (65)
Calculated formation energy ... 0.3363 eV/atom

(6)
Below is a geometry-optimized LiMnOs structure, with properties calculated at the PBE level.

a b c (Å): 4.064 4.064 2.566
angles (deg): 90.00 90.00 120.00
Fractional coordinates of all 3 atoms:
Li: 0.000 0.000 0.000
Mn: 0.667 0.333 0.313
Os: 0.333 0.667 0.607

## Properties
Density of states at the Fermi level ... 1.668 states/eV/cell
Space-group type ... P3m1 (156)
Calculated formation energy ... 0.1991 eV/atom

(7)
Below is a geometry-optimized LiMnOs2 structure, with properties calculated at the PBE level.

a b c (Å): 8.871 2.683 4.628
angles (deg): 90.00 98.93 90.00
Fractional coordinates of all 8 atoms:
Li: 0.000 0.000 0.000
Li: 0.500 0.500 0.000
Mn: 0.242 0.000 0.801
Mn: 0.742 0.500 0.801
Os: 0.006 0.500 0.495
Os: 0.259 0.500 0.296
Os: 0.506 0.000 0.495
Os: 0.759 0.000 0.296

## Properties
Density of states at the Fermi level ... 6.941 states/eV/cell
Space-group type ... Cm (8)
Calculated formation energy ... 0.2344 eV/atom

(8)
Below is a geometry-optimized LiMnOs structure, with properties calculated at the PBE level.

a b c (Å): 5.555 5.555 5.555
angles (deg): 90.00 90.00 90.00
Fractional coordinates of all 12 atoms:
Li: 0.000 0.000 0.000
Li: 0.000 0.500 0.500
Li: 0.500 0.000 0.500
Li: 0.500 0.500 0.000
Mn: 0.250 0.250 0.750
Mn: 0.250 0.750 0.250
Mn: 0.750 0.250 0.250
Mn: 0.750 0.750 0.750
Os: 0.000 0.000 0.500
Os: 0.000 0.500 0.000
Os: 0.500 0.000 0.000
Os: 0.500 0.500 0.500

## Properties
Density of states at the Fermi level ... 7.192 states/eV/cell
Space-group type ... F-43m (216)
Calculated formation energy ... 0.5840 eV/atom

Record order is preserved below.
Electronic total energy: -5.874, -5.846, -5.512, -5.305, -8.049, -7.239, -8.151, -6.854 eV/atom
Record order is preserved below.
Excess energy over the best structure of this formula in the dataset: 0.00, 0.11, 1.45, 2.28, 0.85, 0.00, 0.44, 1.15 eV per formula unit